1.
The following is a DFT calculation (PBE) of a relaxed InCu2O3 crystal.

E_form (uncorrected)   -0.48 eV/atom
Total moment   0.01 μB per cell

a b c (Å): 5.7340 5.7340 4.9232
angles (deg): 90.00 90.00 115.13
Closest atoms and distances in Å follow each position.
Atoms (fractional coordinates):
In (0.2135, 0.7865, 0.7500)  2 O 2.13
In (0.7865, 0.2135, 0.2500)  2 O 2.13
Cu (0.2677, 0.2677, 0.0000)  4 O 1.90-2.10
Cu (0.2677, 0.2677, 0.5000)  4 O 1.90-2.10
Cu (0.7323, 0.7323, 0.0000)  4 O 1.90-2.10
Cu (0.7323, 0.7323, 0.5000)  4 O 1.90-2.10
O (0.0840, 0.3790, 0.7500)  2 Cu 1.90
O (0.3790, 0.0840, 0.2500)  2 Cu 1.90
O (0.4057, 0.5943, 0.2500)  4 Cu 2.10
O (0.5943, 0.4057, 0.7500)  4 Cu 2.10
O (0.6210, 0.9160, 0.7500)  2 Cu 1.90
O (0.9160, 0.6210, 0.2500)  2 Cu 1.90

2.
The following is a DFT calculation (PBE) of a relaxed Tb2SmMg4 crystal.

Energy of formation   0.131 eV per atom
Total moment   0.61 μB per cell
Energy above the most stable polymorph in this dataset   0 meV/atom

a b c (Å): 5.3827 5.3827 14.6625
angles (deg): 90.00 90.00 90.00
Closest atoms and distances in Å follow each position.
Atoms (fractional coordinates):
Tb (0.0000, 0.0000, 0.2490)  8 Mg 3.30-3.32, 1 Sm 3.68
Tb (0.0000, 0.0000, 0.7510)  8 Mg 3.30-3.32, 1 Sm 3.68
Tb (0.5000, 0.5000, 0.2510)  8 Mg 3.30-3.32, 1 Sm 3.68
Tb (0.5000, 0.5000, 0.7490)  8 Mg 3.30-3.32, 1 Sm 3.68
Sm (0.0000, 0.0000, 0.5000)  8 Mg 3.20
Sm (0.5000, 0.5000, 0.0000)  8 Mg 3.20
Mg (0.0000, 0.5000, 0.1186)  2 Sm 3.20, 4 Tb 3.30-3.32, 1 Mg 3.48
Mg (0.0000, 0.5000, 0.3814)  2 Sm 3.20, 4 Tb 3.30-3.32, 1 Mg 3.48
Mg (0.0000, 0.5000, 0.6186)  2 Sm 3.20, 4 Tb 3.30-3.32, 1 Mg 3.48
Mg (0.0000, 0.5000, 0.8814)  2 Sm 3.20, 4 Tb 3.30-3.32, 1 Mg 3.48
Mg (0.5000, 0.0000, 0.1186)  2 Sm 3.20, 4 Tb 3.30-3.32, 1 Mg 3.48
Mg (0.5000, 0.0000, 0.3814)  2 Sm 3.20, 4 Tb 3.30-3.32, 1 Mg 3.48
Mg (0.5000, 0.0000, 0.6186)  2 Sm 3.20, 4 Tb 3.30-3.32, 1 Mg 3.48
Mg (0.5000, 0.0000, 0.8814)  2 Sm 3.20, 4 Tb 3.30-3.32, 1 Mg 3.48

3.
The following is a DFT calculation (PBE) of a relaxed Ba2In2Bi4Pb crystal.

Energy of formation   -0.435 eV per atom
Total moment   0.00 μB per cell

a b c (Å): 9.1369 9.1369 7.2854
angles (deg): 109.20 109.20 34.96
Closest atoms and distances in Å follow each position.
Atoms (fractional coordinates):
Ba (0.1335, 0.1335, 0.1219)  3 In 3.64-3.85, 8 Bi 3.65-4.02
Ba (0.8665, 0.8665, 0.8781)  3 In 3.64-3.85, 8 Bi 3.65-4.02
In (0.3379, 0.3379, 0.4893)  4 Bi 3.04-3.22
In (0.6621, 0.6621, 0.5107)  4 Bi 3.04-3.22
Bi (0.2063, 0.2063, 0.7086)  3 In 3.07-3.22, 1 Pb 3.39
Bi (0.4895, 0.4895, 0.2151)  1 In 3.04, 1 Bi 3.28
Bi (0.5105, 0.5105, 0.7849)  1 In 3.04, 1 Bi 3.28
Bi (0.7937, 0.7937, 0.2914)  3 In 3.07-3.22, 1 Pb 3.39
Pb (0.0000, 0.0000, 0.5000)  6 Bi 3.39-3.41

4.
The following is a DFT calculation (PBE) of a relaxed AcPmPr3Dy crystal.

Energy of formation   0.188 eV per atom
Total moment   0.00 μB per cell

a b c (Å): 10.8896 10.8896 7.1385
angles (deg): 91.35 91.35 31.68
Closest atoms and distances in Å follow each position.
Atoms (fractional coordinates):
Ac (0.1481, 0.1481, 0.0326)  1 Dy 3.26, 4 Pr 3.41-3.63
Ac (0.8519, 0.8519, 0.9674)  1 Dy 3.26, 4 Pr 3.41-3.63
Pm (0.4437, 0.4437, 0.7167)  3 Pr 3.34-3.40
Pm (0.5563, 0.5563, 0.2833)  3 Pr 3.34-3.40
Pr (0.0160, 0.0160, 0.7438)  1 Dy 3.25, 2 Pm 3.34, 1 Ac 3.41, 1 Pr 3.53
Pr (0.2814, 0.2814, 0.7251)  3 Dy 3.33-3.72, 1 Pm 3.40, 1 Pr 3.59, 1 Ac 3.59
Pr (0.3401, 0.3401, 0.2562)  2 Dy 3.50, 1 Pr 3.59, 2 Ac 3.63, 1 Pm 3.89
Pr (0.6599, 0.6599, 0.7438)  2 Dy 3.50, 1 Pr 3.59, 2 Ac 3.63, 1 Pm 3.89
Pr (0.7186, 0.7186, 0.2749)  3 Dy 3.33-3.72, 1 Pm 3.40, 1 Pr 3.59, 1 Ac 3.59
Pr (0.9840, 0.9840, 0.2562)  1 Dy 3.25, 2 Pm 3.34, 1 Ac 3.41, 1 Pr 3.53
Dy (0.1425, 0.1425, 0.4892)  4 Pr 3.25-3.50, 1 Ac 3.26
Dy (0.8575, 0.8575, 0.5108)  4 Pr 3.25-3.50, 1 Ac 3.26

5.
The following is a DFT calculation (PBE) of a relaxed Pm3Sm4Ho4 crystal.

Energy of formation   0.153 eV per atom
Total moment   0.00 μB per cell
Energy above the most stable polymorph in this dataset   0 meV/atom

a b c (Å): 10.6865 6.6830 6.6830
angles (deg): 50.76 90.00 90.00
Closest atoms and distances in Å follow each position.
Atoms (fractional coordinates):
Pm (0.0000, 0.0000, 0.0000)  7 Sm 3.56-3.79, 5 Ho 3.63-3.74, 2 Pm 3.63
Pm (0.2919, 0.1545, 0.1545)  5 Ho 3.32-3.71, 4 Sm 3.53-3.64, 1 Pm 3.63
Pm (0.7081, 0.1545, 0.1545)  5 Ho 3.32-3.71, 4 Sm 3.53-3.64, 1 Pm 3.63
Sm (0.0000, 0.7055, 0.7055)  2 Ho 3.09, 2 Sm 3.37
Sm (0.2114, 0.4986, 0.4986)  4 Ho 3.29-3.52, 2 Sm 3.37-3.47, 4 Pm 3.53-3.65
Sm (0.5000, 0.6309, 0.6309)  3 Ho 3.28-3.39, 2 Sm 3.47, 4 Pm 3.64
Sm (0.7886, 0.4986, 0.4986)  4 Ho 3.29-3.52, 2 Sm 3.37-3.47, 4 Pm 3.53-3.65
Ho (0.0000, 0.3005, 0.3005)  4 Sm 3.09-3.29
Ho (0.3002, 0.8493, 0.8493)  4 Sm 3.39-3.65, 2 Ho 3.57, 4 Pm 3.69-3.71
Ho (0.5000, 0.3591, 0.3591)  3 Sm 3.28-3.51, 2 Pm 3.32, 4 Ho 3.57
Ho (0.6998, 0.8493, 0.8493)  4 Sm 3.39-3.65, 2 Ho 3.57, 4 Pm 3.69-3.71

6.
The following is a DFT calculation (PBE) of a relaxed MnCrGaPd crystal.

Energy of formation   -0.181 eV per atom
Total moment   5.05 μB per cell

a b c (Å): 6.0930 6.0930 6.0930
angles (deg): 90.00 90.00 90.00
Closest atoms and distances in Å follow each position.
Atoms (fractional coordinates):
Mn (0.0000, 0.0000, 0.0000)  4 Cr 2.64, 4 Pd 2.64
Mn (0.0000, 0.5000, 0.5000)  4 Cr 2.64, 4 Pd 2.64
Mn (0.5000, 0.0000, 0.5000)  4 Cr 2.64, 4 Pd 2.64
Mn (0.5000, 0.5000, 0.0000)  4 Cr 2.64, 4 Pd 2.64
Cr (0.2500, 0.2500, 0.2500)  4 Ga 2.64, 4 Mn 2.64
Cr (0.2500, 0.7500, 0.7500)  4 Mn 2.64, 4 Ga 2.64
Cr (0.7500, 0.2500, 0.7500)  4 Mn 2.64, 4 Ga 2.64
Cr (0.7500, 0.7500, 0.2500)  4 Mn 2.64, 4 Ga 2.64
Ga (0.0000, 0.0000, 0.5000)  4 Pd 2.64, 4 Cr 2.64
Ga (0.0000, 0.5000, 0.0000)  4 Pd 2.64, 4 Cr 2.64
Ga (0.5000, 0.0000, 0.0000)  4 Pd 2.64, 4 Cr 2.64
Ga (0.5000, 0.5000, 0.5000)  4 Pd 2.64, 4 Cr 2.64
Pd (0.2500, 0.2500, 0.7500)  4 Mn 2.64, 4 Ga 2.64
Pd (0.2500, 0.7500, 0.2500)  4 Mn 2.64, 4 Ga 2.64
Pd (0.7500, 0.2500, 0.2500)  4 Mn 2.64, 4 Ga 2.64
Pd (0.7500, 0.7500, 0.7500)  4 Mn 2.64, 4 Ga 2.64

7.
The following is a DFT calculation (PBE) of a relaxed Pb2SeS6 crystal.

E_form (uncorrected)   -0.08 eV/atom
Total moment   0.00 μB per cell

a b c (Å): 7.6041 7.6041 4.2128
angles (deg): 102.35 102.35 98.78
Closest atoms and distances in Å follow each position.
Atoms (fractional coordinates):
Pb (0.1874, 0.8126, 0.0000)  4 S 2.98-3.31, 2 Se 3.02
Pb (0.8126, 0.1874, 0.0000)  4 S 2.98-3.31, 2 Se 3.02
Se (0.0000, 0.0000, 0.5000)  4 Pb 3.02
S (0.1664, 0.4559, 0.3324)  1 S 2.01
S (0.3300, 0.3300, 0.0847)  2 S 2.01
S (0.4559, 0.1664, 0.3324)  1 S 2.01
S (0.5441, 0.8336, 0.6676)  1 S 2.01
S (0.6700, 0.6700, 0.9153)  2 S 2.01
S (0.8336, 0.5441, 0.6676)  1 S 2.01

8.
The following is a DFT calculation (PBE) of a relaxed Cs3Pr3UO8 crystal.

E_form (uncorrected)   -2.65 eV/atom
Total moment   1.81 μB per cell

a b c (Å): 8.2910 8.2910 8.2910
angles (deg): 52.68 52.68 52.68
Closest atoms and distances in Å follow each position.
Atoms (fractional coordinates):
Cs (0.0000, 0.5000, 0.5000)  6 O 3.21-3.22
Cs (0.5000, 0.0000, 0.5000)  6 O 3.21-3.22
Cs (0.5000, 0.5000, 0.0000)  6 O 3.21-3.22
Pr (0.0000, 0.0000, 0.5000)  6 O 2.41-2.47
Pr (0.0000, 0.5000, 0.0000)  6 O 2.41-2.47
Pr (0.5000, 0.0000, 0.0000)  6 O 2.41-2.47
U (0.5000, 0.5000, 0.5000)  6 O 2.21
O (0.2202, 0.2202, 0.2202)  3 Pr 2.41
O (0.2474, 0.7022, 0.7022)  1 U 2.21, 2 Pr 2.47
O (0.2978, 0.2978, 0.7526)  1 U 2.21, 2 Pr 2.47
O (0.2978, 0.7526, 0.2978)  1 U 2.21, 2 Pr 2.47
O (0.7022, 0.2474, 0.7022)  1 U 2.21, 2 Pr 2.47
O (0.7022, 0.7022, 0.2474)  1 U 2.21, 2 Pr 2.47
O (0.7526, 0.2978, 0.2978)  1 U 2.21, 2 Pr 2.47
O (0.7798, 0.7798, 0.7798)  3 Pr 2.41

9.
The following is a DFT calculation (PBE) of a relaxed AcPr2Ni crystal.

Energy of formation   -0.148 eV per atom
Total moment   0.00 μB per cell
Energy above the most stable polymorph in this dataset   0 meV/atom

a b c (Å): 7.2981 10.3079 6.6741
angles (deg): 90.00 90.00 90.00
Closest atoms and distances in Å follow each position.
Atoms (fractional coordinates):
Ac (0.0372, 0.2500, 0.1472)  2 Ni 2.98-3.12
Ac (0.4628, 0.7500, 0.6472)  2 Ni 2.98-3.12
Ac (0.5372, 0.2500, 0.3528)  2 Ni 2.98-3.12
Ac (0.9628, 0.7500, 0.8528)  2 Ni 2.98-3.12
Pr (0.1733, 0.0693, 0.6728)  2 Ni 2.87-2.91
Pr (0.1733, 0.4307, 0.6728)  2 Ni 2.87-2.91
Pr (0.3267, 0.5693, 0.1728)  2 Ni 2.87-2.91
Pr (0.3267, 0.9307, 0.1728)  2 Ni 2.87-2.91
Pr (0.6733, 0.0693, 0.8272)  2 Ni 2.87-2.91
Pr (0.6733, 0.4307, 0.8272)  2 Ni 2.87-2.91
Pr (0.8267, 0.5693, 0.3272)  2 Ni 2.87-2.91
Pr (0.8267, 0.9307, 0.3272)  2 Ni 2.87-2.91
Ni (0.1142, 0.7500, 0.4151)  4 Pr 2.87-2.91, 2 Ac 2.98-3.12
Ni (0.3858, 0.2500, 0.9151)  4 Pr 2.87-2.91, 2 Ac 2.98-3.12
Ni (0.6142, 0.7500, 0.0849)  4 Pr 2.87-2.91, 2 Ac 2.98-3.12
Ni (0.8858, 0.2500, 0.5849)  4 Pr 2.87-2.91, 2 Ac 2.98-3.12

10.
The following is a DFT calculation (PBE) of a relaxed Tm2TiTc3 crystal.

Energy of formation   -0.247 eV per atom
Total moment   0.00 μB per cell

a b c (Å): 5.4351 5.4351 5.4351
angles (deg): 59.27 59.27 59.27
Closest atoms and distances in Å follow each position.
Atoms (fractional coordinates):
Tm (0.1219, 0.1219, 0.1219)  9 Tc 3.14-3.23, 3 Ti 3.16, 4 Tm 3.26-3.33
Tm (0.8781, 0.8781, 0.8781)  9 Tc 3.14-3.23, 3 Ti 3.16, 4 Tm 3.26-3.33
Ti (0.5000, 0.5000, 0.5000)  6 Tc 2.72
Tc (0.0000, 0.5000, 0.5000)  4 Tc 2.69, 2 Ti 2.72
Tc (0.5000, 0.0000, 0.5000)  4 Tc 2.69, 2 Ti 2.72
Tc (0.5000, 0.5000, 0.0000)  4 Tc 2.69, 2 Ti 2.72

11.
The following is a DFT calculation (PBE) of a relaxed Y2VRu crystal.

Energy of formation   -0.071 eV per atom
Total moment   0.00 μB per cell
Energy above the most stable polymorph in this dataset   39 meV/atom

a b c (Å): 8.5256 10.4905 3.9890
angles (deg): 90.00 90.00 90.00
Closest atoms and distances in Å follow each position.
Atoms (fractional coordinates):
Y (0.1961, 0.1273, 0.2500)  1 Ru 2.75
Y (0.1961, 0.8727, 0.7500)  1 Ru 2.75
Y (0.3039, 0.3727, 0.7500)  1 Ru 2.75
Y (0.3039, 0.6273, 0.2500)  1 Ru 2.75
Y (0.6961, 0.3727, 0.7500)  1 Ru 2.75
Y (0.6961, 0.6273, 0.2500)  1 Ru 2.75
Y (0.8039, 0.1273, 0.2500)  1 Ru 2.75
Y (0.8039, 0.8727, 0.7500)  1 Ru 2.75
V (0.0000, 0.4211, 0.2500)  2 Ru 2.45, 2 V 2.59
V (0.0000, 0.5789, 0.7500)  2 Ru 2.45, 2 V 2.59
V (0.5000, 0.0789, 0.7500)  2 Ru 2.45, 2 V 2.59
V (0.5000, 0.9211, 0.2500)  2 Ru 2.45, 2 V 2.59
Ru (0.0000, 0.2849, 0.7500)  2 V 2.45
Ru (0.0000, 0.7151, 0.2500)  2 V 2.45
Ru (0.5000, 0.2151, 0.2500)  2 V 2.45
Ru (0.5000, 0.7849, 0.7500)  2 V 2.45

12.
The following is a DFT calculation (PBE) of a relaxed SnBr crystal.

E_form (uncorrected)   -0.35 eV/atom
Total moment   0.00 μB per cell

a b c (Å): 3.5053 6.0327 6.5354
angles (deg): 102.87 104.65 92.12
Closest atoms and distances in Å follow each position.
Atoms (fractional coordinates):
Sn (0.1345, 0.3499, 0.2856)  2 Br 2.77-3.04
Sn (0.8655, 0.6501, 0.7144)  2 Br 2.77-3.04
Br (0.1267, 0.7833, 0.2087)  2 Sn 2.77-3.04
Br (0.8733, 0.2167, 0.7913)  2 Sn 2.77-3.04

13.
The following is a DFT calculation (PBE) of a relaxed AcSb2Pd4 crystal.

E_form (uncorrected)   -0.70 eV/atom
Total moment   0.00 μB per cell
Energy above the most stable polymorph in this dataset   0 meV/atom

a b c (Å): 8.2219 8.2219 4.3429
angles (deg): 90.00 90.00 90.00
Closest atoms and distances in Å follow each position.
Atoms (fractional coordinates):
Ac (0.0000, 0.0000, 0.0000)  6 Sb 3.27-3.35, 4 Pd 3.56
Ac (0.5000, 0.5000, 0.5000)  6 Sb 3.27-3.35, 4 Pd 3.56
Sb (0.2191, 0.2191, 0.5000)  6 Pd 2.73-2.79
Sb (0.2809, 0.7191, 0.0000)  6 Pd 2.73-2.79
Sb (0.7191, 0.2809, 0.0000)  6 Pd 2.73-2.79
Sb (0.7809, 0.7809, 0.5000)  6 Pd 2.73-2.79
Pd (0.0931, 0.6486, 0.5000)  3 Sb 2.73-2.79, 6 Pd 2.88-3.00
Pd (0.1486, 0.4069, 0.0000)  3 Sb 2.73-2.79, 6 Pd 2.88-3.00
Pd (0.3514, 0.9069, 0.5000)  3 Sb 2.73-2.79, 6 Pd 2.88-3.00
Pd (0.4069, 0.1486, 0.0000)  3 Sb 2.73-2.79, 6 Pd 2.88-3.00
Pd (0.5931, 0.8514, 0.0000)  3 Sb 2.73-2.79, 6 Pd 2.88-3.00
Pd (0.6486, 0.0931, 0.5000)  3 Sb 2.73-2.79, 6 Pd 2.88-3.00
Pd (0.8514, 0.5931, 0.0000)  3 Sb 2.73-2.79, 6 Pd 2.88-3.00
Pd (0.9069, 0.3514, 0.5000)  3 Sb 2.73-2.79, 6 Pd 2.88-3.00

14.
The following is a DFT calculation (PBE) of a relaxed NaTlPb4 crystal.

Energy of formation   -0.072 eV per atom
Total moment   0.00 μB per cell
Energy above the most stable polymorph in this dataset   0 meV/atom

a b c (Å): 6.0411 6.0522 6.1376
angles (deg): 80.30 70.39 60.12
Closest atoms and distances in Å follow each position.
Atoms (fractional coordinates):
Na (0.0000, 0.0000, 0.0000)  10 Pb 3.49-3.55, 2 Tl 3.51
Tl (0.5000, 0.0000, 0.5000)  10 Pb 3.46-3.54, 2 Na 3.51
Pb (0.1708, 0.6588, 0.5001)  7 Pb 3.45-3.58, 3 Tl 3.46-3.51, 2 Na 3.55
Pb (0.3324, 0.3352, 0.0005)  7 Pb 3.48-3.52, 3 Na 3.49-3.50, 2 Tl 3.53-3.54
Pb (0.6676, 0.6648, 0.9995)  7 Pb 3.48-3.52, 3 Na 3.49-3.50, 2 Tl 3.53-3.54
Pb (0.8292, 0.3412, 0.4999)  7 Pb 3.45-3.58, 3 Tl 3.46-3.51, 2 Na 3.55

15.
The following is a DFT calculation (PBE) of a relaxed ZrGaPb3 crystal.

Energy of formation   0.391 eV per atom
Total moment   0.00 μB per cell
Energy above the most stable polymorph in this dataset   0 meV/atom

a b c (Å): 5.6782 5.6782 5.6782
angles (deg): 90.00 90.00 90.00
Closest atoms and distances in Å follow each position.
Atoms (fractional coordinates):
Zr (0.0000, 0.0000, 0.0000)  6 Pb 2.84
Ga (0.5000, 0.5000, 0.5000)  12 Pb 4.02
Pb (0.0000, 0.0000, 0.5000)  2 Zr 2.84
Pb (0.0000, 0.5000, 0.0000)  2 Zr 2.84
Pb (0.5000, 0.0000, 0.0000)  2 Zr 2.84